Ac4Pr2Nd: relaxed, PBE-GGA.

Magnetic moment   0.00 μB/atom
DFT total energy   -4.15 eV/atom
Calculated formation energy   162 kJ/mol of formula units
DOS at the Fermi energy   46.3 states/eV/cell
Polymorph energy (0 for the lowest one)   135.5 meV per atom

abc: 7.3511 12.4432 12.8684
angles: 90.00 90.00 90.00
Space group Imma (No. 74)
Inequivalent atoms, fractional coordinates:
Ac: 0.0000 0.0070 0.1522 [8 per cell]
Ac: 0.2317 0.2500 0.9886 [8 per cell]
Pr: 0.0000 0.0000 0.5000 [4 per cell]
Pr: 0.0000 0.2500 0.7248 [4 per cell]
Nd: 0.2500 0.2500 0.2500 [4 per cell]